# 1
The following is a DFT calculation (PBE) of an optimized crystal structure of La2ScPt.

abc: 4.479 4.479 9.959
angles: 90.00 90.00 90.00
Space group I4/mmm (No. 139)
Symmetry-distinct sites (fractional):
La (0.000, 0.500, 0.250) x4
Sc (0.000, 0.000, 0.000) x2
Pt (0.000, 0.000, 0.500) x2

spin magnetization: 0.0 μB per formula unit
distance to the lowest polymorph of the same formula: 1.03 eV/f.u.
E_form: -311.0 meV per atom

***

# 2
The following is a DFT calculation (PBE) of an optimized crystal structure of La2ScPt.

abc: 8.668 8.668 6.304
angles: 90.00 90.00 90.00
Space group I-42d (No. 122)
Symmetry-distinct sites (fractional):
La (0.192, 0.250, 0.125) x8
Sc (0.000, 0.000, 0.500) x4
Pt (0.000, 0.000, 0.000) x4

spin magnetization: 0.0 μB per formula unit
distance to the lowest polymorph of the same formula: 0.94 eV/f.u.
E_form: -334.3 meV per atom

***

# 3
The following is a DFT calculation (PBE) of an optimized crystal structure of La2ScPt2.

abc: 5.446 5.446 9.956
angles: 90.00 90.00 90.00
Space group I4/mmm (No. 139)
Symmetry-distinct sites (fractional):
La (0.000, 0.000, 0.174) x4
Sc (0.000, 0.000, 0.500) x2
Pt (0.000, 0.500, 0.250) x4

spin magnetization: 0.0 μB per formula unit
distance to the lowest polymorph of the same formula: 3.24 eV/f.u.
E_form: -325.2 meV per atom